1.
DyTaRh2: relaxed, PBE-GGA.

Values from the calculation:
The value obtained for the calculated formation energy is -602 meV/atom.

Lattice parameters (Å, degrees): 3.184 3.184 7.241 90.00 90.00 90.00
Element x y z (fractional)
Rh: 0.000 0.000 0.208
Rh: 0.000 0.000 0.792
Dy: 0.500 0.500 0.500
Ta: 0.500 0.500 0.000

2.
SnH2Ru: relaxed, PBE-GGA.

Lattice parameters (Å, degrees): 3.190 3.190 4.990 108.72 108.73 89.74
Element x y z (fractional)
H: 0.035 0.035 0.070
H: 0.535 0.535 0.070
Sn: 0.309 0.809 0.619
Ru: 0.621 0.121 0.242

3.
Nb4CrW3: relaxed, PBE-GGA.

Values from the calculation:
The value obtained for the calculated formation energy is -15 meV/atom.

Lattice parameters (Å, degrees): 3.217 3.217 12.839 90.00 90.00 90.00
Element x y z (fractional)
W: 0.500 0.500 0.500
W: 0.500 0.500 0.754
W: 0.500 0.500 0.246
Cr: 0.500 0.500 0.000
Nb: 0.000 0.000 0.373
Nb: 0.000 0.000 0.627
Nb: 0.000 0.000 0.881
Nb: 0.000 0.000 0.119

4.
GdMgCoHg: relaxed, PBE-GGA.

Values from the calculation:
The value obtained for the calculated formation energy is -71 meV/atom.

Lattice parameters (Å, degrees): 4.884 4.884 4.884 60.00 60.00 60.00
Element x y z (fractional)
Mg: 0.000 0.000 0.000
Co: 0.750 0.750 0.750
Gd: 0.500 0.500 0.500
Hg: 0.250 0.250 0.250

5.
NdHo5Er3: relaxed, PBE-GGA.

Values from the calculation:
The value obtained for the calculated formation energy is 428 meV/atom.

Lattice parameters (Å, degrees): 9.284 9.284 12.813 51.09 51.09 50.57
Element x y z (fractional)
Ho: 0.321 0.679 0.000
Ho: 0.077 0.491 0.780
Ho: 0.557 0.557 0.566
Ho: 0.679 0.321 0.000
Ho: 0.509 0.923 0.220
Ho: 0.629 0.629 0.072
Ho: 0.923 0.509 0.220
Ho: 0.371 0.371 0.928
Ho: 0.491 0.077 0.780
Ho: 0.443 0.443 0.434
Er: 0.000 0.000 0.500
Er: 0.000 0.000 0.000
Er: 0.304 0.304 0.317
Er: 0.831 0.831 0.339
Er: 0.169 0.169 0.661
Er: 0.696 0.696 0.683
Nd: 0.104 0.104 0.132
Nd: 0.896 0.896 0.868

6.
KLi3Cu4Cl12: relaxed, PBE-GGA.

Values from the calculation:
For the uncorrected formation energy, the calculation gives -0.95 eV per atom.

Lattice parameters (Å, degrees): 8.367 8.367 8.367 104.26 104.26 104.26
Element x y z (fractional)
Cl: 0.665 0.500 0.335
Cl: 0.347 0.975 0.242
Cl: 0.090 0.910 0.500
Cl: 0.758 0.025 0.653
Cl: 0.025 0.653 0.758
Cl: 0.500 0.090 0.910
Cl: 0.335 0.665 0.500
Cl: 0.975 0.242 0.347
Cl: 0.910 0.500 0.090
Cl: 0.242 0.347 0.975
Cl: 0.500 0.335 0.665
Cl: 0.653 0.758 0.025
Li: 0.433 0.000 0.567
Li: 0.567 0.433 0.000
Li: 0.000 0.567 0.433
Cu: 0.925 0.075 0.500
Cu: 0.075 0.500 0.925
Cu: 0.500 0.500 0.500
Cu: 0.500 0.925 0.075
K: 0.000 0.000 0.000

7.
Cu2SbS4: relaxed, PBE-GGA.

Values from the calculation:
For the uncorrected formation energy, the calculation gives -0.09 eV per atom.

Lattice parameters (Å, degrees): 6.797 6.797 7.540 116.79 116.79 90.00
Element x y z (fractional)
Cu: 0.375 0.125 0.750
Cu: 0.375 0.625 0.750
Cu: 0.875 0.625 0.250
Cu: 0.375 0.625 0.250
S: 0.050 0.411 0.398
S: 0.013 0.950 0.602
S: 0.402 0.263 0.102
S: 0.700 0.839 0.102
S: 0.348 0.987 0.398
S: 0.737 0.300 0.898
S: 0.161 0.598 0.898
S: 0.589 0.652 0.602
Sb: 0.750 0.250 0.500
Sb: 0.000 0.000 0.000

8.
CaPm11: relaxed, PBE-GGA.

Values from the calculation:
The value obtained for the calculated formation energy is 41 meV/atom.

Lattice parameters (Å, degrees): 3.601 11.612 11.612 120.00 90.00 90.00
Element x y z (fractional)
Pm: 0.500 0.646 0.823
Pm: 0.000 0.500 0.500
Pm: 0.500 0.354 0.177
Pm: 0.000 0.667 0.333
Pm: 0.500 0.823 0.177
Pm: 0.500 0.177 0.823
Pm: 0.500 0.177 0.354
Pm: 0.000 0.333 0.667
Pm: 0.000 0.000 0.500
Pm: 0.000 0.500 0.000
Pm: 0.500 0.823 0.646
Ca: 0.000 0.000 0.000

Q: Which density of states at the Fermi level values were calculated for the entries above? A: 0.861; 0.310; 0.850; 1.121; 1.539; 0.756; 0.497; 1.294, in states/eV per atom.
Q: Which raw total energy values were calculated for the entries above? A: -8.39; -5.06; -11.11; -5.84; -4.17; -3.22; -4.21; -4.48, in eV per atom.